A geometry-optimized LuZrNiSb structure. Source: OQMD, functional PBE.

```
data_LuZrNiSb
_chemical_formula_sum 'Lu4 Zr4 Ni4 Sb4'
_cell_length_a 6.9508
_cell_length_b 6.9508
_cell_length_c 6.9508
_cell_angle_alpha 90.00
_cell_angle_beta 90.00
_cell_angle_gamma 90.00
_symmetry_space_group_name_H-M 'F -4 3 m'
_symmetry_Int_Tables_number 216
_symmetry_space_group_name_Hall 'F -4 2 3'
loop_
_atom_site_label
_atom_site_fract_x
_atom_site_fract_y
_atom_site_fract_z
_atom_site_occupancy
Lu1 0.0000 0.0000 0.0000 1
Zr1 0.2500 0.2500 0.7500 1
Ni1 0.0000 0.0000 0.5000 1
Sb1 0.2500 0.2500 0.2500 1
```

Properties
- Total energy: -88.8 eV per cell